# 1
Compound: ZnCu4Ni
Source: the Alexandria database
Functional: PBE
Structure: optimized geometry

```
data_ZnCu4Ni
_chemical_formula_sum 'Zn4 Cu16 Ni4'
_cell_length_a 10.914
_cell_length_b 6.651
_cell_length_c 4.348
_cell_angle_alpha 90.00
_cell_angle_beta 102.81
_cell_angle_gamma 90.00
_symmetry_space_group_name_H-M 'C 1 2/m 1'
_symmetry_Int_Tables_number 12
_symmetry_space_group_name_Hall '-C 2y'
loop_
_atom_site_label
_atom_site_type_symbol
_atom_site_fract_x
_atom_site_fract_y
_atom_site_fract_z
_atom_site_occupancy
Zn1 Zn 0.212 0.000 0.121 1
Cu1 Cu 0.000 0.186 0.000 1
Cu2 Cu 0.123 0.185 0.569 1
Cu3 Cu 0.171 0.500 0.311 1
Ni1 Ni 0.054 0.500 0.769 1
```

VASP energy: -92.2 eV per cell
Offset from the most stable computed form: 11.06 kJ per mole of atoms
Energy relative to the elements: 66 meV per atom

# 2
Compound: ZnCu2Ni8
Source: the Alexandria database
Functional: PBE
Structure: optimized geometry

```
data_ZnCu2Ni8
_chemical_formula_sum 'Zn2 Cu4 Ni16'
_cell_length_a 3.891
_cell_length_b 6.077
_cell_length_c 10.840
_cell_angle_alpha 90.00
_cell_angle_beta 90.00
_cell_angle_gamma 90.00
_symmetry_space_group_name_H-M 'I m m m'
_symmetry_Int_Tables_number 71
_symmetry_space_group_name_Hall '-I 2 2'
loop_
_atom_site_label
_atom_site_type_symbol
_atom_site_fract_x
_atom_site_fract_y
_atom_site_fract_z
_atom_site_occupancy
Zn1 Zn 0.000 0.000 0.000 1
Cu1 Cu 0.000 0.000 0.300 1
Ni1 Ni 0.000 0.204 0.500 1
Ni2 Ni 0.000 0.293 0.147 1
Ni3 Ni 0.000 0.500 0.347 1
```

VASP energy: -108.8 eV per cell
Offset from the most stable computed form: 0.00 kJ per mole of atoms
Energy relative to the elements: 122 meV per atom

# 3
Compound: Zn2Cu3Ni6
Source: the Alexandria database
Functional: PBE
Structure: optimized geometry

```
data_Zn2Cu3Ni6
_chemical_formula_sum 'Zn2 Cu3 Ni6'
_cell_length_a 4.362
_cell_length_b 5.012
_cell_length_c 6.523
_cell_angle_alpha 94.86
_cell_angle_beta 108.54
_cell_angle_gamma 92.83
_symmetry_space_group_name_H-M 'P 1'
_symmetry_Int_Tables_number 1
_symmetry_space_group_name_Hall 'P 1'
loop_
_atom_site_label
_atom_site_type_symbol
_atom_site_fract_x
_atom_site_fract_y
_atom_site_fract_z
_atom_site_occupancy
Zn1 Zn 0.000 0.000 0.000 1
Zn2 Zn 0.391 0.297 0.408 1
Cu1 Cu 0.210 0.915 0.686 1
Cu2 Cu 0.520 0.249 0.025 1
Cu3 Cu 0.857 0.570 0.366 1
Ni1 Ni 0.028 0.500 0.040 1
Ni2 Ni 0.155 0.408 0.705 1
Ni3 Ni 0.363 0.805 0.355 1
Ni4 Ni 0.518 0.741 0.026 1
Ni5 Ni 0.682 0.646 0.701 1
Ni6 Ni 0.860 0.062 0.353 1
```

VASP energy: -49.0 eV per cell
Energy relative to the elements: 48 meV per atom

# 4
Compound: Zn2Cu3Ni4
Source: the Alexandria database
Functional: PBE
Structure: optimized geometry

```
data_Zn2Cu3Ni4
_chemical_formula_sum 'Zn4 Cu6 Ni8'
_cell_length_a 7.967
_cell_length_b 3.634
_cell_length_c 7.635
_cell_angle_alpha 90.00
_cell_angle_beta 107.28
_cell_angle_gamma 90.00
_symmetry_space_group_name_H-M 'C 1 2/m 1'
_symmetry_Int_Tables_number 12
_symmetry_space_group_name_Hall '-C 2y'
loop_
_atom_site_label
_atom_site_type_symbol
_atom_site_fract_x
_atom_site_fract_y
_atom_site_fract_z
_atom_site_occupancy
Zn1 Zn 0.168 0.000 0.220 1
Cu1 Cu 0.000 0.500 0.000 1
Cu2 Cu 0.164 0.000 0.556 1
Ni1 Ni 0.001 0.500 0.336 1
Ni2 Ni 0.165 0.000 0.887 1
```

VASP energy: -77.6 eV per cell
Energy relative to the elements: -92 meV per atom

# 5
Compound: ZnCu4Ni2
Source: the Alexandria database
Functional: PBE
Structure: optimized geometry

```
data_ZnCu4Ni2
_chemical_formula_sum 'Zn2 Cu8 Ni4'
_cell_length_a 7.692
_cell_length_b 6.043
_cell_length_c 4.788
_cell_angle_alpha 90.00
_cell_angle_beta 128.03
_cell_angle_gamma 90.00
_symmetry_space_group_name_H-M 'C 1 2/m 1'
_symmetry_Int_Tables_number 12
_symmetry_space_group_name_Hall '-C 2y'
loop_
_atom_site_label
_atom_site_type_symbol
_atom_site_fract_x
_atom_site_fract_y
_atom_site_fract_z
_atom_site_occupancy
Zn1 Zn 0.000 0.000 0.000 1
Cu1 Cu 0.205 0.205 0.705 1
Ni1 Ni 0.001 0.500 0.751 1
```

VASP energy: -57.0 eV per cell
Offset from the most stable computed form: 0.00 kJ per mole of atoms
Energy relative to the elements: 104 meV per atom

# 6
Compound: Zn2Cu8Ni3
Source: the Alexandria database
Functional: PBE
Structure: optimized geometry

```
data_Zn2Cu8Ni3
_chemical_formula_sum 'Zn2 Cu8 Ni3'
_cell_length_a 8.334
_cell_length_b 2.514
_cell_length_c 8.564
_cell_angle_alpha 90.00
_cell_angle_beta 117.57
_cell_angle_gamma 90.00
_symmetry_space_group_name_H-M 'P 1 2/m 1'
_symmetry_Int_Tables_number 10
_symmetry_space_group_name_Hall '-P 2y'
loop_
_atom_site_label
_atom_site_type_symbol
_atom_site_fract_x
_atom_site_fract_y
_atom_site_fract_z
_atom_site_occupancy
Zn1 Zn 0.040 0.000 0.369 1
Cu1 Cu 0.143 0.000 0.143 1
Cu2 Cu 0.192 0.500 0.905 1
Cu3 Cu 0.281 0.000 0.687 1
Cu4 Cu 0.337 0.500 0.453 1
Ni1 Ni 0.432 0.500 0.217 1
Ni2 Ni 0.500 0.000 0.000 1
```

VASP energy: -52.0 eV per cell
Offset from the most stable computed form: 0.00 kJ per mole of atoms
Energy relative to the elements: 52 meV per atom

# 7
Compound: Zn3Cu3Ni2
Source: the Alexandria database
Functional: PBE
Structure: optimized geometry

```
data_Zn3Cu3Ni2
_chemical_formula_sum 'Zn3 Cu3 Ni2'
_cell_length_a 6.6624
_cell_length_b 6.6624
_cell_length_c 2.6429
_cell_angle_alpha 90.00
_cell_angle_beta 90.00
_cell_angle_gamma 120.00
_symmetry_space_group_name_H-M 'P -6 2 m'
_symmetry_Int_Tables_number 189
_symmetry_space_group_name_Hall 'P -6 -2'
loop_
_atom_site_label
_atom_site_type_symbol
_atom_site_fract_x
_atom_site_fract_y
_atom_site_fract_z
_atom_site_occupancy
Zn1 Zn 0.0000 0.6115 0.0000 1
Cu1 Cu 0.0000 0.2346 0.5000 1
Ni1 Ni 0.3333 0.6667 0.5000 1
```

VASP energy: -28.2 eV per cell
Offset from the most stable computed form: 6.66 kJ per mole of atoms
Energy relative to the elements: -66 meV per atom

# 8
Compound: Zn5Cu12Ni2
Source: the Alexandria database
Functional: PBE
Structure: optimized geometry

```
data_Zn5Cu12Ni2
_chemical_formula_sum 'Zn10 Cu24 Ni4'
_cell_length_a 16.180
_cell_length_b 5.080
_cell_length_c 6.280
_cell_angle_alpha 90.00
_cell_angle_beta 109.14
_cell_angle_gamma 90.00
_symmetry_space_group_name_H-M 'C 1 2/m 1'
_symmetry_Int_Tables_number 12
_symmetry_space_group_name_Hall '-C 2y'
loop_
_atom_site_label
_atom_site_type_symbol
_atom_site_fract_x
_atom_site_fract_y
_atom_site_fract_z
_atom_site_occupancy
Zn1 Zn 0.000 0.000 0.000 1
Zn2 Zn 0.147 0.500 0.585 1
Zn3 Zn 0.245 0.000 0.985 1
Cu1 Cu 0.047 0.500 0.196 1
Cu2 Cu 0.104 0.257 0.890 1
Cu3 Cu 0.139 0.000 0.564 1
Cu4 Cu 0.200 0.250 0.298 1
Ni1 Ni 0.000 0.248 0.500 1
```

VASP energy: -133.2 eV per cell
Energy relative to the elements: 26 meV per atom

# 9
Compound: Zn6Cu3Ni
Source: the Alexandria database
Functional: PBE
Structure: optimized geometry

```
data_Zn6Cu3Ni
_chemical_formula_sum 'Zn12 Cu6 Ni2'
_cell_length_a 8.578
_cell_length_b 5.010
_cell_length_c 6.814
_cell_angle_alpha 90.00
_cell_angle_beta 109.55
_cell_angle_gamma 90.00
_symmetry_space_group_name_H-M 'C 1 2/m 1'
_symmetry_Int_Tables_number 12
_symmetry_space_group_name_Hall '-C 2y'
loop_
_atom_site_label
_atom_site_type_symbol
_atom_site_fract_x
_atom_site_fract_y
_atom_site_fract_z
_atom_site_occupancy
Zn1 Zn 0.158 0.000 0.406 1
Zn2 Zn 0.159 0.249 0.809 1
Cu1 Cu 0.000 0.500 0.500 1
Cu2 Cu 0.093 0.500 0.189 1
Ni1 Ni 0.000 0.000 0.000 1
```

VASP energy: -51.6 eV per cell
Offset from the most stable computed form: 8.94 kJ per mole of atoms
Energy relative to the elements: -9 meV per atom

# 10
Compound: Zn8Cu6Ni
Source: the Alexandria database
Functional: PBE
Structure: optimized geometry

```
data_Zn8Cu6Ni
_chemical_formula_sum 'Zn24 Cu18 Ni3'
_cell_length_a 6.6162
_cell_length_b 6.6162
_cell_length_c 15.8007
_cell_angle_alpha 90.00
_cell_angle_beta 90.00
_cell_angle_gamma 120.00
_symmetry_space_group_name_H-M 'R -3'
_symmetry_Int_Tables_number 148
_symmetry_space_group_name_Hall '-R 3'
loop_
_atom_site_label
_atom_site_type_symbol
_atom_site_fract_x
_atom_site_fract_y
_atom_site_fract_z
_atom_site_occupancy
Zn1 Zn 0.0000 0.0000 0.0848 1
Zn2 Zn 0.0460 0.2537 0.6279 1
Cu1 Cu 0.0174 0.7700 0.2081 1
Ni1 Ni 0.0000 0.0000 0.5000 1
```

VASP energy: -123.2 eV per cell
Offset from the most stable computed form: 0.00 kJ per mole of atoms
Energy relative to the elements: -34 meV per atom

# 11
Compound: Zn2CuNi
Source: the Alexandria database
Functional: PBE
Structure: optimized geometry

```
data_Zn2CuNi
_chemical_formula_sum 'Zn4 Cu2 Ni2'
_cell_length_a 5.352
_cell_length_b 7.017
_cell_length_c 2.676
_cell_angle_alpha 90.00
_cell_angle_beta 90.00
_cell_angle_gamma 90.00
_symmetry_space_group_name_H-M 'C m m m'
_symmetry_Int_Tables_number 65
_symmetry_space_group_name_Hall '-C 2 2'
loop_
_atom_site_label
_atom_site_type_symbol
_atom_site_fract_x
_atom_site_fract_y
_atom_site_fract_z
_atom_site_occupancy
Zn1 Zn 0.250 0.250 0.000 1
Cu1 Cu 0.000 0.000 0.500 1
Ni1 Ni 0.000 0.500 0.500 1
```

VASP energy: -26.1 eV per cell
Energy relative to the elements: -156 meV per atom

# 12
Compound: ZnCu3Ni
Source: the Alexandria database
Functional: PBE
Structure: optimized geometry

```
data_ZnCu3Ni
_chemical_formula_sum 'Zn1 Cu3 Ni1'
_cell_length_a 4.377
_cell_length_b 4.377
_cell_length_c 4.377
_cell_angle_alpha 90.00
_cell_angle_beta 90.00
_cell_angle_gamma 90.00
_symmetry_space_group_name_H-M 'P m -3 m'
_symmetry_Int_Tables_number 221
_symmetry_space_group_name_Hall '-P 4 2 3'
loop_
_atom_site_label
_atom_site_type_symbol
_atom_site_fract_x
_atom_site_fract_y
_atom_site_fract_z
_atom_site_occupancy
Zn1 Zn 0.000 0.000 0.000 1
Cu1 Cu 0.000 0.500 0.500 1
Ni1 Ni 0.500 0.500 0.500 1
```

VASP energy: -15.3 eV per cell
Offset from the most stable computed form: 79.37 kJ per mole of atoms
Energy relative to the elements: 800 meV per atom

Number 1: total magnetization 0.0000 μB/atom. Number 2: total magnetization 0.3021 μB/atom. Number 3: total magnetization 0.0525 μB/atom. Number 4: total magnetization 0.0000 μB/atom. Number 5: total magnetization 0.0004 μB/atom. Number 6: total magnetization 0.0000 μB/atom. Number 7: total magnetization 0.0000 μB/atom. Number 8: total magnetization 0.0000 μB/atom. Number 9: total magnetization 0.0000 μB/atom. Number 10: total magnetization 0.0000 μB/atom. Number 11: total magnetization 0.0000 μB/atom. Number 12: total magnetization 0.0000 μB/atom.